Density functional theory data (PBE-GGA) for crystalline TcAgRh at its relaxed geometry.

a b c (Å): 6.3281 6.3281 6.3281
angles (deg): 154.62 154.62 36.20
Fractional coordinates of all 3 atoms:
Tc: 0.6792 0.6792 0.0000
Ag: 0.0001 0.0001 0.0000
Rh: 0.3207 0.3207 0.0000

Output
- Energy of formation: 0.19 eV per atom